# 1
Ba2NaInNi: optimized geometry, PBE.

Geometry as CIF:
```
data_Ba2NaInNi
_space_group_name_H-M_alt 'P 1'
_space_group_IT_number 1
_cell_length_a 6.0885
_cell_length_b 6.0885
_cell_length_c 5.0923
_cell_angle_alpha 90.00
_cell_angle_beta 90.00
_cell_angle_gamma 90.00
loop_
_space_group_symop_operation_xyz
'x,y,z'
loop_
_atom_site_label
_atom_site_type_symbol
_atom_site_fract_x
_atom_site_fract_y
_atom_site_fract_z
Ba1 Ba 0.5000 0.0000 0.0000
In1 In 0.0000 0.0000 0.5000
Na1 Na 0.5000 0.5000 0.5000
Ba2 Ba 0.0000 0.5000 0.0000
Ni1 Ni 0.0000 0.0000 0.0000
```

Results
As for the space group: No. 123. Its energy relative to the elements is -0.58 eV/f.u. The calculation puts the density of states at the Fermi level at 5.2 states/eV/f.u.

# 2
BaNaIn2Ni: optimized geometry, PBE.

Geometry as CIF:
```
data_BaNaIn2Ni
_space_group_name_H-M_alt 'P 1'
_space_group_IT_number 1
_cell_length_a 5.0696
_cell_length_b 5.0696
_cell_length_c 5.4504
_cell_angle_alpha 90.00
_cell_angle_beta 90.00
_cell_angle_gamma 90.00
loop_
_space_group_symop_operation_xyz
'x,y,z'
loop_
_atom_site_label
_atom_site_type_symbol
_atom_site_fract_x
_atom_site_fract_y
_atom_site_fract_z
Na1 Na 0.0000 0.0000 0.5000
In1 In 0.5000 0.0000 0.0000
In2 In 0.0000 0.5000 0.0000
Ni1 Ni 0.0000 0.0000 0.0000
Ba1 Ba 0.5000 0.5000 0.5000
```

Results
The calculation puts the energy relative to the lowest polymorph listed for this composition at 0.00 eV/f.u. As for the space group: No. 123. Its energy relative to the elements is -0.83 eV/f.u. The calculation puts the density of states at the Fermi level at 4.2 states/eV/f.u.

# 3
Ba2NaInO: optimized geometry, PBE.

Geometry as CIF:
```
data_Ba2NaInO
_space_group_name_H-M_alt 'P 1'
_space_group_IT_number 1
_cell_length_a 5.5769
_cell_length_b 5.5769
_cell_length_c 4.8793
_cell_angle_alpha 90.00
_cell_angle_beta 90.00
_cell_angle_gamma 90.00
loop_
_space_group_symop_operation_xyz
'x,y,z'
loop_
_atom_site_label
_atom_site_type_symbol
_atom_site_fract_x
_atom_site_fract_y
_atom_site_fract_z
Ba1 Ba 0.0000 0.5000 0.0000
Ba2 Ba 0.5000 0.0000 0.0000
O1 O 0.0000 0.0000 0.0000
Na1 Na 0.0000 0.0000 0.5000
In1 In 0.5000 0.5000 0.5000
```

Results
The calculation puts the total energy at -3.605 eV/atom. As for the space group: No. 123. The calculation puts the density of states at the Fermi level at 5.1 states/eV/f.u.

# 4
Ba2NaIn4Pb3: optimized geometry, PBE.

Geometry as CIF:
```
data_Ba2NaIn4Pb3
_space_group_name_H-M_alt 'P 1'
_space_group_IT_number 1
_cell_length_a 4.9884
_cell_length_b 4.9884
_cell_length_c 13.7580
_cell_angle_alpha 90.00
_cell_angle_beta 90.00
_cell_angle_gamma 90.00
loop_
_space_group_symop_operation_xyz
'x,y,z'
loop_
_atom_site_label
_atom_site_type_symbol
_atom_site_fract_x
_atom_site_fract_y
_atom_site_fract_z
Pb1 Pb 0.0000 0.0000 0.5000
In1 In 0.0000 0.0000 0.0000
Ba1 Ba 0.0000 0.5000 0.7602
Pb2 Pb 0.0000 0.5000 0.1399
In2 In 0.0000 0.5000 0.3635
In3 In 0.5000 0.0000 0.6365
Pb3 Pb 0.5000 0.0000 0.8601
Na1 Na 0.5000 0.5000 0.5000
In4 In 0.5000 0.5000 0.0000
Ba2 Ba 0.5000 0.0000 0.2398
```

Results
As for the space group: No. 115. Its energy relative to the elements is -2.57 eV/f.u. The calculation puts the density of states at the Fermi level at 6.5 states/eV/f.u.

# 5
BaNaInPb: optimized geometry, PBE.

Geometry as CIF:
```
data_BaNaInPb
_space_group_name_H-M_alt 'P 1'
_space_group_IT_number 1
_cell_length_a 5.7743
_cell_length_b 5.7743
_cell_length_c 5.7743
_cell_angle_alpha 60.00
_cell_angle_beta 60.00
_cell_angle_gamma 60.00
loop_
_space_group_symop_operation_xyz
'x,y,z'
loop_
_atom_site_label
_atom_site_type_symbol
_atom_site_fract_x
_atom_site_fract_y
_atom_site_fract_z
Na1 Na 0.7500 0.7500 0.7500
Pb1 Pb 0.5000 0.5000 0.5000
In1 In 0.0000 0.0000 0.0000
Ba1 Ba 0.2500 0.2500 0.2500
```

Results
As for the space group: No. 216. Its energy relative to the elements is -1.20 eV/f.u. The calculation puts the density of states at the Fermi level at 1.0 states/eV/f.u.

# 6
Ba2NaIn3Pb4: optimized geometry, PBE.

Geometry as CIF:
```
data_Ba2NaIn3Pb4
_space_group_name_H-M_alt 'P 1'
_space_group_IT_number 1
_cell_length_a 5.1293
_cell_length_b 5.1293
_cell_length_c 13.1323
_cell_angle_alpha 90.00
_cell_angle_beta 90.00
_cell_angle_gamma 90.00
loop_
_space_group_symop_operation_xyz
'x,y,z'
loop_
_atom_site_label
_atom_site_type_symbol
_atom_site_fract_x
_atom_site_fract_y
_atom_site_fract_z
Ba1 Ba 0.5000 0.0000 0.2460
Pb1 Pb 0.0000 0.0000 0.0000
Pb2 Pb 0.0000 0.5000 0.3611
Pb3 Pb 0.5000 0.5000 0.0000
Pb4 Pb 0.5000 0.0000 0.6389
Ba2 Ba 0.0000 0.5000 0.7540
In1 In 0.0000 0.5000 0.1360
In2 In 0.5000 0.0000 0.8640
In3 In 0.0000 0.0000 0.5000
Na1 Na 0.5000 0.5000 0.5000
```

Results
As for the space group: No. 115. Its energy relative to the elements is -2.94 eV/f.u. The calculation puts the density of states at the Fermi level at 6.2 states/eV/f.u.